Here is a geometry-optimized Pm3GeH structure from the Alexandria database. Energies are from PBE-GGA.

Results
Density of states at the Fermi level = 5.4 states/eV/cell
Offset from the most stable computed form = 21 meV/atom

Lattice parameters (Å, degrees): 4.826 4.826 4.826 90.00 90.00 90.00
Atoms (fractional coordinates):
H (0.000, 0.000, 0.000)
Ge (0.500, 0.500, 0.500)
Pm (0.000, 0.500, 0.000)
Pm (0.000, 0.000, 0.500)
Pm (0.500, 0.000, 0.000)

=====

Here is a geometry-optimized SrLaZn2Ag structure from the Alexandria database. Energies are from PBE-GGA.

Results
Density of states at the Fermi level = 2.2 states/eV/cell
Energy of formation = 0.182 eV/atom

Lattice parameters (Å, degrees): 5.080 5.550 5.080 90.00 90.00 90.00
Atoms (fractional coordinates):
Sr (0.000, 0.500, 0.000)
Zn (0.000, 0.000, 0.500)
Zn (0.500, 0.000, 0.000)
Ag (0.000, 0.000, 0.000)
La (0.500, 0.500, 0.500)

=====

Here is a geometry-optimized PmHo2FeN4 structure from the Alexandria database. Energies are from PBE-GGA.

Results
ΔE_f (raw) = -1.145 eV/atom
Density of states at the Fermi level = 6.9 states/eV/cell

Lattice parameters (Å, degrees): 3.386 5.931 11.487 90.00 90.00 106.59
Atoms (fractional coordinates):
Pm (0.116, 0.232, 0.750)
Pm (0.884, 0.768, 0.250)
Ho (0.368, 0.736, 0.545)
Ho (0.632, 0.264, 0.045)
Ho (0.632, 0.264, 0.455)
Ho (0.368, 0.736, 0.955)
Fe (0.846, 0.691, 0.750)
Fe (0.154, 0.309, 0.250)
N (0.267, 0.535, 0.130)
N (0.733, 0.465, 0.630)
N (0.733, 0.465, 0.870)
N (0.267, 0.535, 0.370)
N (0.000, 0.000, 0.500)
N (0.000, 0.000, 0.000)
N (0.417, 0.833, 0.750)
N (0.583, 0.167, 0.250)

=====

Here is a geometry-optimized BaMoPdRu2 structure from the Alexandria database. Energies are from PBE-GGA.

Results
Density of states at the Fermi level = 7.3 states/eV/cell
Energy of formation = 1.467 eV/atom

Lattice parameters (Å, degrees): 5.013 4.819 5.013 90.00 90.00 90.00
Atoms (fractional coordinates):
Ru (0.000, 0.000, 0.500)
Ru (0.500, 0.000, 0.000)
Mo (0.000, 0.500, 0.000)
Ba (0.500, 0.500, 0.500)
Pd (0.000, 0.000, 0.000)

=====

Here is a geometry-optimized Li2YGa structure from the Alexandria database. Energies are from PBE-GGA.

Results
Density of states at the Fermi level = 7.1 states/eV/cell
Energy of formation = -0.067 eV/atom

Lattice parameters (Å, degrees): 4.193 4.193 10.570 78.56 78.56 90.00
Atoms (fractional coordinates):
Y (0.000, 0.000, 0.000)
Y (0.750, 0.250, 0.500)
Ga (0.500, 0.500, 0.000)
Ga (0.250, 0.750, 0.500)
Li (0.203, 0.125, 0.250)
Li (0.547, 0.625, 0.250)
Li (0.375, 0.797, 0.750)
Li (0.875, 0.453, 0.750)

=====

Here is a geometry-optimized La4AlGaI2 structure from the Alexandria database. Energies are from PBE-GGA.

Results
ΔE_f (raw) = -0.723 eV/atom
Density of states at the Fermi level = 5.5 states/eV/cell

Lattice parameters (Å, degrees): 4.461 7.930 8.071 108.22 90.00 90.00
Atoms (fractional coordinates):
La (0.500, 0.236, 0.217)
La (0.500, 0.764, 0.783)
La (0.000, 0.255, 0.778)
La (0.000, 0.745, 0.222)
Al (0.500, 0.500, 0.000)
Ga (0.000, 0.000, 0.000)
I (0.500, 0.000, 0.500)
I (0.000, 0.500, 0.500)